1.
Entry from Alexandria via LeMat-Bulk: a geometry-optimized Ca4Te3Cl structure (PBE-GGA).

Geometry as CIF:
```
data_Ca4Te3Cl
_chemical_formula_sum 'Ca8 Te6 Cl2'
_cell_length_a 6.268
_cell_length_b 6.268
_cell_length_c 12.476
_cell_angle_alpha 90.00
_cell_angle_beta 90.00
_cell_angle_gamma 90.00
_space_group_name_H-M_alt 'I 4/m m m'
_space_group_IT_number 139
_space_group_name_Hall '-I 4 2'
loop_
_atom_site_label
_atom_site_type_symbol
_atom_site_fract_x
_atom_site_fract_y
_atom_site_fract_z
Ca1 Ca 0.000 0.000 0.248
Ca2 Ca 0.000 0.500 0.000
Te1 Te 0.000 0.000 0.500
Te2 Te 0.000 0.500 0.250
Cl1 Cl 0.000 0.000 0.000
```

Computed properties:
energy relative to the elements, uncorrected: -1.62 eV/atom
mass density: 3921 kg/m3

***

2.
Entry from Alexandria via LeMat-Bulk: a geometry-optimized Li7Mg2Pd structure (PBE-GGA).

Geometry as CIF:
```
data_Li7Mg2Pd
_chemical_formula_sum 'Li7 Mg2 Pd1'
_cell_length_a 4.5907
_cell_length_b 4.5907
_cell_length_c 10.2996
_cell_angle_alpha 90.00
_cell_angle_beta 90.00
_cell_angle_gamma 120.00
_space_group_name_H-M_alt 'P 3 m 1'
_space_group_IT_number 156
loop_
_space_group_symop_operation_xyz
'x,y,z'
'-y,x-y,z'
'-x+y,-x,z'
'-y,-x,z'
'-x+y,y,z'
'x,x-y,z'
loop_
_atom_site_label
_atom_site_type_symbol
_atom_site_fract_x
_atom_site_fract_y
_atom_site_fract_z
Li1 Li 0.0000 0.0000 0.0000
Li2 Li 0.0000 0.0000 0.2238
Li3 Li 0.0000 0.0000 0.4729
Li4 Li 0.3333 0.6667 0.1772
Li5 Li 0.3333 0.6667 0.8941
Li6 Li 0.6667 0.3333 0.3511
Li7 Li 0.6667 0.3333 0.6668
Mg1 Mg 0.0000 0.0000 0.7370
Mg2 Mg 0.3333 0.6667 0.5499
Pd1 Pd 0.6667 0.3333 0.0816
```

Computed properties:
ΔH_f (0 K): -18 meV/atom
mass density: 1799 kg/m3

***

3.
Entry from Alexandria via LeMat-Bulk: a geometry-optimized Cs3Ac3GaSe8 structure (PBE-GGA).

Geometry as CIF:
```
data_Cs3Ac3GaSe8
_chemical_formula_sum 'Cs6 Ac6 Ga2 Se16'
_cell_length_a 15.524
_cell_length_b 8.970
_cell_length_c 10.013
_cell_angle_alpha 90.00
_cell_angle_beta 121.15
_cell_angle_gamma 90.00
_space_group_name_H-M_alt 'C 1 2/m 1'
_space_group_IT_number 12
loop_
_space_group_symop_operation_xyz
'x,y,z'
'-x,-y,-z'
'-x,y,-z'
'x,-y,z'
'x+1/2,y+1/2,z'
'-x+1/2,-y+1/2,-z'
'-x+1/2,y+1/2,-z'
'x+1/2,-y+1/2,z'
loop_
_atom_site_label
_atom_site_type_symbol
_atom_site_fract_x
_atom_site_fract_y
_atom_site_fract_z
Cs1 Cs 0.000 0.000 0.000
Cs2 Cs 0.250 0.250 0.000
Ac1 Ac 0.000 0.500 0.500
Ac2 Ac 0.250 0.250 0.500
Ga1 Ga 0.000 0.000 0.500
Se1 Se 0.014 0.221 0.322
Se2 Se 0.204 0.000 0.676
Se3 Se 0.233 0.500 0.699
```

Computed properties:
energy relative to the elements, uncorrected: -1.38 eV/atom
mass density: 4957 kg/m3

***

4.
Entry from Alexandria via LeMat-Bulk: a geometry-optimized Li2ZnCr structure (PBE-GGA).

Geometry as CIF:
```
data_Li2ZnCr
_chemical_formula_sum 'Li4 Zn2 Cr2'
_cell_length_a 5.461
_cell_length_b 8.108
_cell_length_c 2.939
_cell_angle_alpha 90.00
_cell_angle_beta 90.00
_cell_angle_gamma 90.00
_space_group_name_H-M_alt 'C m m m'
_space_group_IT_number 65
_space_group_name_Hall '-C 2 2'
loop_
_atom_site_label
_atom_site_type_symbol
_atom_site_fract_x
_atom_site_fract_y
_atom_site_fract_z
Li1 Li 0.250 0.250 0.000
Zn1 Zn 0.000 0.000 0.500
Cr1 Cr 0.000 0.500 0.500
```

Computed properties:
ΔH_f (0 K): 275 meV/atom
mass density: 3351 kg/m3
excess energy over the best structure of this formula in the dataset: 0.084 eV/atom

***

5.
Entry from Alexandria via LeMat-Bulk: a geometry-optimized Pr2Y3Er3 structure (PBE-GGA).

Geometry as CIF:
```
data_Pr2Y3Er3
_chemical_formula_sum 'Pr4 Y6 Er6'
_cell_length_a 23.891
_cell_length_b 3.609
_cell_length_c 6.233
_cell_angle_alpha 90.00
_cell_angle_beta 105.12
_cell_angle_gamma 90.00
_space_group_name_H-M_alt 'C 1 2/m 1'
_space_group_IT_number 12
loop_
_space_group_symop_operation_xyz
'x,y,z'
'-x,-y,-z'
'-x,y,-z'
'x,-y,z'
'x+1/2,y+1/2,z'
'-x+1/2,-y+1/2,-z'
'-x+1/2,y+1/2,-z'
'x+1/2,-y+1/2,z'
loop_
_atom_site_label
_atom_site_type_symbol
_atom_site_fract_x
_atom_site_fract_y
_atom_site_fract_z
Pr1 Pr 0.249 0.000 0.251
Y1 Y 0.000 0.000 0.000
Y2 Y 0.123 0.000 0.786
Er1 Er 0.000 0.500 0.500
Er2 Er 0.123 0.500 0.288
```

Computed properties:
ΔH_f (0 K): 1 meV/atom
mass density: 6724 kg/m3
excess energy over the best structure of this formula in the dataset: 0.000 eV/atom